(i)
Material: Nd3Zn4Cu2
Method: DFT, PBE
State: relaxed

Crystal system = monoclinic
D(E_F) = 0.73 states/eV/atom

Cell lengths 9.923, 4.548, 8.730 Å; angles 90.00, 103.35, 90.00 degrees
Space group C2/m (No. 12)
One atom of each set of equivalent atoms:
Nd1 0.000 0.000 0.000 x2
Nd2 0.125 0.500 0.697 x4
Zn1 0.103 0.000 0.424 x4
Zn2 0.216 0.500 0.071 x4
Cu1 0.175 0.500 0.340 x4

***

(ii)
Material: Nd3Zn4Cu2
Method: DFT, PBE
State: relaxed

Crystal system = monoclinic
D(E_F) = 0.88 states/eV/atom

Cell lengths 10.691, 4.488, 8.608 Å; angles 90.00, 112.61, 90.00 degrees
Space group C2/m (No. 12)
One atom of each set of equivalent atoms:
Nd1 0.000 0.000 0.000 x2
Nd2 0.173 0.500 0.657 x4
Zn1 0.041 0.000 0.374 x4
Zn2 0.225 0.500 0.062 x4
Cu1 0.100 0.500 0.269 x4

***

Of them, the most stable is (ii) and the least stable is (i).

***

(i)
Material: Nd4ZnCu
Method: DFT, PBE
State: relaxed

Crystal system = tetragonal
D(E_F) = 1.92 states/eV/atom

Cell lengths 5.025, 5.025, 7.208 Å; angles 90.00, 90.00, 90.00 degrees
Space group P4/mmm (No. 123)
One atom of each set of equivalent atoms:
Nd1 0.000 0.500 0.243 x4
Zn1 0.000 0.000 0.500 x1
Cu1 0.500 0.500 0.000 x1

***

(ii)
Material: Nd4ZnCu
Method: DFT, PBE
State: relaxed

Crystal system = tetragonal
D(E_F) = 1.20 states/eV/atom

Cell lengths 3.676, 3.676, 12.482 Å; angles 90.00, 90.00, 90.00 degrees
Space group P4/mmm (No. 123)
One atom of each set of equivalent atoms:
Nd1 0.000 0.000 0.136 x2
Nd2 0.500 0.500 0.355 x2
Zn1 0.000 0.000 0.500 x1
Cu1 0.500 0.500 0.000 x1

***

Of them, the most stable is (ii) and the least stable is (i).